[1]
Computed, not measured: a geometry-optimized CsLi4Pu3Cl12 structure at the GGA-PBE level of DFT.

Structure (CIF):
```
data_CsLi4Pu3Cl12
_chemical_formula_sum 'Cs3 Li12 Pu9 Cl36'
_cell_length_a 14.7825
_cell_length_b 14.7825
_cell_length_c 10.1878
_cell_angle_alpha 90.00
_cell_angle_beta 90.00
_cell_angle_gamma 120.00
_space_group_name_H-M_alt 'R 3 2'
_space_group_IT_number 155
_space_group_name_Hall 'R 3 2"'
loop_
_atom_site_label
_atom_site_type_symbol
_atom_site_fract_x
_atom_site_fract_y
_atom_site_fract_z
Cs1 Cs 0.0000 0.0000 0.0000
Li1 Li 0.0000 0.0000 0.5000
Li2 Li 0.0000 0.4350 0.5000
Pu1 Pu 0.0000 0.5606 0.0000
Cl1 Cl 0.0000 0.5945 0.5000
Cl2 Cl 0.0000 0.8430 0.5000
Cl3 Cl 0.0487 0.2226 0.1839
```

[2]
Computed, not measured: a geometry-optimized La2Nd3Si4 structure at the GGA-PBE level of DFT.

Structure (CIF):
```
data_La2Nd3Si4
_chemical_formula_sum 'La4 Nd6 Si8'
_cell_length_a 7.9441
_cell_length_b 8.0039
_cell_length_c 7.8461
_cell_angle_alpha 90.00
_cell_angle_beta 105.33
_cell_angle_gamma 90.00
_space_group_name_H-M_alt 'P 1 21/c 1'
_space_group_IT_number 14
_space_group_name_Hall '-P 2ybc'
loop_
_atom_site_label
_atom_site_type_symbol
_atom_site_fract_x
_atom_site_fract_y
_atom_site_fract_z
La1 La 0.2043 0.1831 0.0956
Nd1 Nd 0.2411 0.6829 0.2553
Nd2 Nd 0.5000 0.0000 0.5000
Si1 Si 0.0817 0.5255 0.8897
Si2 Si 0.4944 0.1142 0.8836
```

[3]
Computed, not measured: a geometry-optimized BaCaWN3 structure at the GGA-PBE level of DFT.

Structure (CIF):
```
data_BaCaWN3
_chemical_formula_sum 'Ba4 Ca4 W4 N12'
_cell_length_a 13.4278
_cell_length_b 3.9969
_cell_length_c 8.0873
_cell_angle_alpha 90.00
_cell_angle_beta 107.17
_cell_angle_gamma 90.00
_space_group_name_H-M_alt 'C 1 2/m 1'
_space_group_IT_number 12
_space_group_name_Hall '-C 2y'
loop_
_atom_site_label
_atom_site_type_symbol
_atom_site_fract_x
_atom_site_fract_y
_atom_site_fract_z
Ba1 Ba 0.1454 0.0000 0.0742
Ca1 Ca 0.1629 0.0000 0.5810
W1 W 0.0017 0.5000 0.3193
N1 N 0.0015 0.0000 0.3349
N2 N 0.1413 0.5000 0.8257
N3 N 0.1480 0.5000 0.3276
```

[4]
Computed, not measured: a geometry-optimized ScTi3Ge structure at the GGA-PBE level of DFT.

Structure (CIF):
```
data_ScTi3Ge
_chemical_formula_sum 'Sc1 Ti3 Ge1'
_cell_length_a 4.7734
_cell_length_b 4.7734
_cell_length_c 4.7734
_cell_angle_alpha 90.00
_cell_angle_beta 90.00
_cell_angle_gamma 90.00
_space_group_name_H-M_alt 'P m -3 m'
_space_group_IT_number 221
_space_group_name_Hall '-P 4 2 3'
loop_
_atom_site_label
_atom_site_type_symbol
_atom_site_fract_x
_atom_site_fract_y
_atom_site_fract_z
Sc1 Sc 0.0000 0.0000 0.0000
Ti1 Ti 0.0000 0.5000 0.5000
Ge1 Ge 0.5000 0.5000 0.5000
```

Results
Calculated formation energy   0.3157 eV/atom
Excess energy over the best structure of this formula in the dataset   0 meV per atom

[5]
Computed, not measured: a geometry-optimized U2B10Ir structure at the GGA-PBE level of DFT.

Structure (CIF):
```
data_U2B10Ir
_chemical_formula_sum 'U4 B20 Ir2'
_cell_length_a 5.6390
_cell_length_b 11.2898
_cell_length_c 4.1360
_cell_angle_alpha 90.00
_cell_angle_beta 90.00
_cell_angle_gamma 90.00
_space_group_name_H-M_alt 'P b a m'
_space_group_IT_number 55
_space_group_name_Hall '-P 2 2ab'
loop_
_atom_site_label
_atom_site_type_symbol
_atom_site_fract_x
_atom_site_fract_y
_atom_site_fract_z
U1 U 0.1950 0.1403 0.0000
B1 B 0.0507 0.3068 0.5000
B2 B 0.1175 0.9578 0.5000
B3 B 0.1373 0.8025 0.5000
B4 B 0.2167 0.3807 0.1962
Ir1 Ir 0.0000 0.5000 0.5000
```

Results
Calculated formation energy   -0.4030 eV/atom

[6]
Computed, not measured: a geometry-optimized YMoPb structure at the GGA-PBE level of DFT.

Structure (CIF):
```
data_YMoPb
_chemical_formula_sum 'Y1 Mo1 Pb1'
_cell_length_a 3.4770
_cell_length_b 3.4770
_cell_length_c 6.9426
_cell_angle_alpha 90.00
_cell_angle_beta 90.00
_cell_angle_gamma 120.00
_space_group_name_H-M_alt 'P 3 m 1'
_space_group_IT_number 156
_space_group_name_Hall 'P 3 -2"'
loop_
_atom_site_label
_atom_site_type_symbol
_atom_site_fract_x
_atom_site_fract_y
_atom_site_fract_z
Y1 Y 0.0000 0.0000 0.0000
Mo1 Mo 0.6667 0.3333 0.3145
Pb1 Pb 0.3333 0.6667 0.6120
```

Results
Calculated formation energy   0.4333 eV/atom
Excess energy over the best structure of this formula in the dataset   226 meV per atom

[7]
Computed, not measured: a geometry-optimized Y2TlHg structure at the GGA-PBE level of DFT.

Structure (CIF):
```
data_Y2TlHg
_chemical_formula_sum 'Y2 Tl1 Hg1'
_cell_length_a 5.3489
_cell_length_b 5.3489
_cell_length_c 3.7333
_cell_angle_alpha 90.00
_cell_angle_beta 90.00
_cell_angle_gamma 90.00
_space_group_name_H-M_alt 'P 4/m m m'
_space_group_IT_number 123
_space_group_name_Hall '-P 4 2'
loop_
_atom_site_label
_atom_site_type_symbol
_atom_site_fract_x
_atom_site_fract_y
_atom_site_fract_z
Y1 Y 0.0000 0.5000 0.0000
Tl1 Tl 0.0000 0.0000 0.5000
Hg1 Hg 0.5000 0.5000 0.5000
```

Results
Calculated formation energy   -0.4429 eV/atom

[8]
Computed, not measured: a geometry-optimized Ce3PrRu8 structure at the GGA-PBE level of DFT.

Structure (CIF):
```
data_Ce3PrRu8
_chemical_formula_sum 'Ce9 Pr3 Ru24'
_cell_length_a 5.3692
_cell_length_b 5.3692
_cell_length_c 26.4638
_cell_angle_alpha 90.00
_cell_angle_beta 90.00
_cell_angle_gamma 120.00
_space_group_name_H-M_alt 'R 3 m'
_space_group_IT_number 160
_space_group_name_Hall 'R 3 -2"'
loop_
_atom_site_label
_atom_site_type_symbol
_atom_site_fract_x
_atom_site_fract_y
_atom_site_fract_z
Ce1 Ce 0.0000 0.0000 0.0000
Ce2 Ce 0.0000 0.0000 0.1247
Ce3 Ce 0.0000 0.0000 0.6259
Pr1 Pr 0.0000 0.0000 0.5005
Ru1 Ru 0.0000 0.0000 0.3132
Ru2 Ru 0.0000 0.0000 0.8131
Ru3 Ru 0.0008 0.5004 0.5639
Ru4 Ru 0.1676 0.3351 0.3955
```

Results
Calculated formation energy   -0.2345 eV/atom

[9]
Computed, not measured: a geometry-optimized Pm2CdGa3Rh4 structure at the GGA-PBE level of DFT.

Structure (CIF):
```
data_Pm2CdGa3Rh4
_chemical_formula_sum 'Pm2 Cd1 Ga3 Rh4'
_cell_length_a 4.2546
_cell_length_b 4.2546
_cell_length_c 10.6248
_cell_angle_alpha 90.00
_cell_angle_beta 90.00
_cell_angle_gamma 90.00
_space_group_name_H-M_alt 'P -4 m 2'
_space_group_IT_number 115
_space_group_name_Hall 'P -4 -2'
loop_
_atom_site_label
_atom_site_type_symbol
_atom_site_fract_x
_atom_site_fract_y
_atom_site_fract_z
Pm1 Pm 0.0000 0.5000 0.2361
Cd1 Cd 0.0000 0.0000 0.5000
Ga1 Ga 0.0000 0.5000 0.8801
Ga2 Ga 0.5000 0.5000 0.5000
Rh1 Rh 0.0000 0.0000 0.0000
Rh2 Rh 0.0000 0.5000 0.6496
Rh3 Rh 0.5000 0.5000 0.0000
```

Results
Calculated formation energy   -0.6883 eV/atom

Number 1: raw total energy -5.51 eV/atom. Number 2: raw total energy -5.79 eV/atom. Number 3: raw total energy -7.65 eV/atom. Number 4: raw total energy -6.61 eV/atom. Number 5: raw total energy -7.96 eV/atom. Number 6: raw total energy -6.57 eV/atom. Number 7: raw total energy -4.34 eV/atom. Number 8: raw total energy -8.30 eV/atom. Number 9: raw total energy -5.58 eV/atom.